(1)
Crystalline SrNdSmIn at its relaxed geometry, computed with GGA-PBE.

Results
Electronic total energy in eV/atom: -3.55
Energy of formation in eV/f.u.: -0.29
Magnetic moment in μB per formula unit: 0.0
Density of states at the Fermi level in states/eV/cell: 4.4

Cell: 5.7011 5.7011 5.7011 Å, 60.00 60.00 60.00°
Atoms (fractional coordinates):
In1 0.7500 0.7500 0.7500
Sr1 0.2500 0.2500 0.2500
Nd1 0.0000 0.0000 0.0000
Sm1 0.5000 0.5000 0.5000

(2)
Crystalline SmCoGe3Os at its relaxed geometry, computed with GGA-PBE.

Results
Electronic total energy in eV/atom: -6.33
Energy of formation in eV/f.u.: -1.09
Magnetic moment in μB per formula unit: 0.0
Density of states at the Fermi level in states/eV/cell: 9.0

Cell: 7.0425 5.7967 6.3482 Å, 117.17 90.00 90.00°
Atoms (fractional coordinates):
Sm1 0.7500 0.2740 0.5480
Ge1 0.0000 0.7364 0.0000
Os1 0.2500 0.4008 0.8015
Ge2 0.0000 0.2636 0.0000
Ge3 0.5000 0.7364 0.0000
Ge4 0.7500 0.8042 0.6084
Sm2 0.2500 0.7260 0.4520
Co1 0.7500 0.9989 0.9977
Os2 0.7500 0.5992 0.1985
Co2 0.2500 0.0011 0.0023
Ge5 0.5000 0.2636 0.0000
Ge6 0.2500 0.1958 0.3916

(3)
Crystalline La5Tb4Dy2 at its relaxed geometry, computed with GGA-PBE.

Results
Electronic total energy in eV/atom: -4.57
Energy of formation in eV/f.u.: 2.05
E above lowest polymorph in meV per atom: 69
Magnetic moment in μB per formula unit: 0.0
Density of states at the Fermi level in states/eV/cell: 17.8

Cell: 3.5525 9.3368 12.8811 Å, 111.25 97.93 90.00°
Atoms (fractional coordinates):
Tb1 0.0000 0.3126 0.0000
La1 0.1483 0.3514 0.2966
La2 0.5000 0.0000 0.0000
Dy1 0.7306 0.7306 0.4611
Tb2 0.4034 0.4034 0.8068
La3 0.8517 0.0548 0.7034
Tb3 0.5966 0.5966 0.1932
La4 0.1483 0.9452 0.2966
Tb4 0.0000 0.6874 0.0000
Dy2 0.2694 0.2694 0.5389
La5 0.8517 0.6486 0.7034

(4)
Crystalline Mn3W4 at its relaxed geometry, computed with GGA-PBE.

Results
Electronic total energy in eV/atom: -11.19
Energy of formation in eV/f.u.: 0.96
E above lowest polymorph in meV per atom: 112
Magnetic moment in μB per formula unit: 3.7
Density of states at the Fermi level in states/eV/cell: 6.2

Cell: 10.6687 10.6687 10.6687 Å, 163.36 163.36 23.62°
Last column: magnetic moment on the atom in μB.
Atoms (fractional coordinates):
W1 0.1498 0.1498 0.0000  -0.27
Mn1 0.0000 0.0000 0.0000  0.99
Mn2 0.7157 0.7157 0.0000  1.72
Mn3 0.2843 0.2843 0.0000  1.72
W2 0.4291 0.4291 0.0000  -0.06
W3 0.5709 0.5709 0.0000  -0.06
W4 0.8502 0.8502 0.0000  -0.27